Entry 1:
Below is a geometry-optimized SrCoAg2 structure, with properties calculated at the PBE-GGA level.

For the energy relative to the elements, the calculation gives 0.484 eV per atom. The calculation puts the density of states at the Fermi level at 7.377 states/eV/cell. The calculation puts the calculated total energy at -3.138 eV/atom. The calculation puts the distance to the lowest polymorph of the same formula at 313.5 meV per atom.

It has space group C2/m (No. 12), with a = 5.7684 Å, b = 10.1777 Å, c = 3.1176 Å, α = 90.00°, β = 116.44° and γ = 90.00°. The distinct sites, in fractional coordinates, are Sr at (0.0000, 0.0000, 0.0000), Co at (0.0000, 0.5000, 0.0000) and Ag at (0.2500, 0.2500, 0.5000).

Entry 2:
Below is a geometry-optimized Sr2CoAg2 structure, with properties calculated at the PBE-GGA level.

For the energy relative to the elements, the calculation gives 0.168 eV per atom. The calculation puts the density of states at the Fermi level at 8.802 states/eV/cell. The calculation puts the calculated total energy at -3.066 eV/atom.

It has space group P4/mbm (No. 127), with a = 7.6171 Å, b = 7.6171 Å, c = 4.6442 Å, α = 90.00°, β = 90.00° and γ = 90.00°. The distinct sites, in fractional coordinates, are Sr at (0.1774, 0.3226, 0.0000), Co at (0.0000, 0.0000, 0.5000) and Ag at (0.1324, 0.6324, 0.5000).

Entry 3:
Below is a geometry-optimized SrCoAg2 structure, with properties calculated at the PBE-GGA level.

For the energy relative to the elements, the calculation gives 0.380 eV per atom. The calculation puts the density of states at the Fermi level at 26.311 states/eV/cell. The calculation puts the calculated total energy at -3.243 eV/atom. The calculation puts the distance to the lowest polymorph of the same formula at 208.5 meV per atom.

It has space group Fm-3m (No. 225), with a = 7.0445 Å, b = 7.0445 Å, c = 7.0445 Å, α = 90.00°, β = 90.00° and γ = 90.00°. The distinct sites, in fractional coordinates, are Sr at (0.0000, 0.0000, 0.0000), Co at (0.0000, 0.0000, 0.5000) and Ag at (0.2500, 0.2500, 0.2500).

Entry 4:
Below is a geometry-optimized SrCo2Ag2 structure, with properties calculated at the PBE-GGA level.

For the energy relative to the elements, the calculation gives 0.384 eV per atom. The calculation puts the density of states at the Fermi level at 10.641 states/eV/cell. The calculation puts the calculated total energy at -3.935 eV/atom. The calculation puts the distance to the lowest polymorph of the same formula at 104.2 meV per atom.

It has space group P4/mbm (No. 127), with a = 7.8229 Å, b = 7.8229 Å, c = 3.0022 Å, α = 90.00°, β = 90.00° and γ = 90.00°. The distinct sites, in fractional coordinates, are Sr at (0.0000, 0.0000, 0.0000), Co at (0.1021, 0.3979, 0.0000) and Ag at (0.1845, 0.6845, 0.5000).

Entry 5:
Below is a geometry-optimized Sr2CoAg structure, with properties calculated at the PBE-GGA level.

For the energy relative to the elements, the calculation gives 0.246 eV per atom. The calculation puts the density of states at the Fermi level at 12.823 states/eV/cell. The calculation puts the calculated total energy at -3.084 eV/atom.

It has space group Imm2 (No. 44), with a = 4.2364 Å, b = 4.5277 Å, c = 13.0452 Å, α = 90.00°, β = 90.00° and γ = 90.00°. The distinct sites, in fractional coordinates, are Sr at (0.0000, 0.0000, 0.0000), Sr at (0.0000, 0.5000, 0.2444), Co at (0.0000, 0.0000, 0.4222) and Ag at (0.0000, 0.5000, 0.8090).

Entry 6:
Below is a geometry-optimized Sr2Co2Ag structure, with properties calculated at the PBE-GGA level.

For the energy relative to the elements, the calculation gives 0.442 eV per atom. The calculation puts the density of states at the Fermi level at 17.515 states/eV/cell. The calculation puts the calculated total energy at -3.643 eV/atom. The calculation puts the distance to the lowest polymorph of the same formula at 164.2 meV per atom.

It has space group I4/mmm (No. 139), with a = 5.8722 Å, b = 5.8722 Å, c = 7.5059 Å, α = 90.00°, β = 90.00° and γ = 90.00°. The distinct sites, in fractional coordinates, are Sr at (0.0000, 0.5000, 0.2500), Co at (0.0000, 0.0000, 0.1442) and Ag at (0.0000, 0.0000, 0.5000).

Entry 7:
Below is a geometry-optimized SrCo2Ag structure, with properties calculated at the PBE-GGA level.

For the energy relative to the elements, the calculation gives 0.756 eV per atom. The calculation puts the density of states at the Fermi level at 9.307 states/eV/cell. The calculation puts the calculated total energy at -3.930 eV/atom.

It has space group C2/m (No. 12), with a = 5.7013 Å, b = 9.2206 Å, c = 2.9337 Å, α = 90.00°, β = 110.31° and γ = 90.00°. The distinct sites, in fractional coordinates, are Sr at (0.0000, 0.0000, 0.0000), Co at (0.2500, 0.2500, 0.5000) and Ag at (0.0000, 0.5000, 0.0000).

Entry 8:
Below is a geometry-optimized SrCoAg2 structure, with properties calculated at the PBE-GGA level.

For the energy relative to the elements, the calculation gives 0.347 eV per atom. The calculation puts the density of states at the Fermi level at 9.857 states/eV/cell. The calculation puts the calculated total energy at -3.275 eV/atom. The calculation puts the distance to the lowest polymorph of the same formula at 176.4 meV per atom.

It has space group Imm2 (No. 44), with a = 4.0540 Å, b = 4.6183 Å, c = 9.0183 Å, α = 90.00°, β = 90.00° and γ = 90.00°. The distinct sites, in fractional coordinates, are Sr at (0.0000, 0.0000, 0.0000), Co at (0.0000, 0.5000, 0.2446), Ag at (0.0000, 0.0000, 0.5418) and Ag at (0.0000, 0.5000, 0.7691).

Entry 9:
Below is a geometry-optimized SrCoAg2 structure, with properties calculated at the PBE-GGA level.

For the energy relative to the elements, the calculation gives 0.171 eV per atom. The calculation puts the density of states at the Fermi level at 11.530 states/eV/cell. The calculation puts the calculated total energy at -3.452 eV/atom. The calculation puts the distance to the lowest polymorph of the same formula at 0.0 meV per atom.

It has space group Cm (No. 8), with a = 7.8637 Å, b = 4.5359 Å, c = 5.8905 Å, α = 90.00°, β = 116.25° and γ = 90.00°. The distinct sites, in fractional coordinates, are Sr at (0.0000, 0.0000, 0.0000), Co at (0.1900, 0.0000, 0.5688), Ag at (0.0228, 0.5000, 0.5675) and Ag at (0.3015, 0.5000, 0.4034).

Entry 10:
Below is a geometry-optimized SrCo2Ag structure, with properties calculated at the PBE-GGA level.

For the energy relative to the elements, the calculation gives 0.688 eV per atom. The calculation puts the density of states at the Fermi level at 11.048 states/eV/cell. The calculation puts the calculated total energy at -3.998 eV/atom.

It has space group Immm (No. 71), with a = 3.8377 Å, b = 4.3883 Å, c = 8.9485 Å, α = 90.00°, β = 90.00° and γ = 90.00°. The distinct sites, in fractional coordinates, are Sr at (0.0000, 0.0000, 0.0000), Co at (0.0000, 0.5000, 0.2410) and Ag at (0.0000, 0.0000, 0.5000).

Entry 11:
Below is a geometry-optimized SrCoAg2 structure, with properties calculated at the PBE-GGA level.

For the energy relative to the elements, the calculation gives 0.319 eV per atom. The calculation puts the density of states at the Fermi level at 4.697 states/eV/cell. The calculation puts the calculated total energy at -3.304 eV/atom. The calculation puts the distance to the lowest polymorph of the same formula at 147.8 meV per atom.

It has space group Pmm2 (No. 25), with a = 3.3599 Å, b = 3.6789 Å, c = 6.9052 Å, α = 90.00°, β = 90.00° and γ = 90.00°. The distinct sites, in fractional coordinates, are Sr at (0.0000, 0.0000, 0.0000), Co at (0.5000, 0.5000, 0.7016), Ag at (0.0000, 0.0000, 0.5358) and Ag at (0.5000, 0.5000, 0.3146).

Entry 12:
Below is a geometry-optimized SrCo2Ag structure, with properties calculated at the PBE-GGA level.

For the energy relative to the elements, the calculation gives 0.190 eV per atom. The calculation puts the density of states at the Fermi level at 4.557 states/eV/cell. The calculation puts the calculated total energy at -4.497 eV/atom.

It has space group Cm (No. 8), with a = 7.1938 Å, b = 4.1514 Å, c = 6.0976 Å, α = 90.00°, β = 113.23° and γ = 90.00°. The distinct sites, in fractional coordinates, are Sr at (0.0000, 0.0000, 0.0000), Co at (0.0308, 0.5000, 0.5915), Co at (0.2001, 0.0000, 0.5996) and Ag at (0.3021, 0.5000, 0.4060).